Entry from Alexandria: a relaxed structure of Na5In6Ag (PBE).

Cell: 5.8973 10.2053 10.6993 Å, 90.00 100.69 90.00°
Space group C2/m (No. 12)
One atom of each set of equivalent atoms:
Na1 0.0000 0.0000 0.0000 [2 per cell]
Na2 0.0000 0.1667 0.5000 [4 per cell]
Na3 0.0000 0.3322 0.0000 [4 per cell]
In1 0.2387 0.5000 0.2588 [4 per cell]
In2 0.2408 0.3393 0.7423 [8 per cell]
Ag1 0.0000 0.5000 0.5000 [2 per cell]

Computed properties:
formation enthalpy at 0 K	-0.058	eV per atom
volume	316.4	Å³/f.u.
density of states at the Fermi level	5.6	states/eV per cell